The following is a PBE calculation of a geometry-optimized Pm2Er2Ag structure, from Alexandria via LeMat-Bulk.

Cell lengths 3.5851, 3.5851, 22.8321 Å; angles 90.00, 90.00, 90.00 degrees
Last column: nearest neighbours and their distance in Å.
Atoms (fractional coordinates):
Pm 0.0000 0.0000 0.1927  8 Pm 3.59-3.64, 4 Er 3.61
Pm 0.0000 0.0000 0.8073  8 Pm 3.59-3.64, 4 Er 3.61
Pm 0.5000 0.5000 0.3073  8 Pm 3.59-3.64, 4 Er 3.61
Pm 0.5000 0.5000 0.6927  8 Pm 3.59-3.64, 4 Er 3.61
Er 0.0000 0.0000 0.4196  4 Ag 3.13
Er 0.0000 0.0000 0.5804  4 Ag 3.13
Er 0.5000 0.5000 0.0804  4 Ag 3.13
Er 0.5000 0.5000 0.9196  4 Ag 3.13
Ag 0.0000 0.0000 0.0000  8 Er 3.13
Ag 0.5000 0.5000 0.5000  8 Er 3.13

Properties
Formation energy from the elements   -10.2 kJ/mol of atoms
E   -4.401 eV/atom
Total moment   0.0 μB per formula unit